(1)
Th3AlFe3 | PBE | optimized geometry

a b c (Å): 5.581 5.581 13.191
angles (deg): 90.00 90.00 135.85
Fractional coordinates of all 14 atoms:
Th  0.007  0.993  0.750
Th  0.294  0.706  0.603
Th  0.294  0.706  0.897
Th  0.706  0.294  0.103
Th  0.706  0.294  0.397
Th  0.993  0.007  0.250
Al  0.000  0.000  0.000
Al  0.000  0.000  0.500
Fe  0.290  0.710  0.250
Fe  0.420  0.580  0.093
Fe  0.420  0.580  0.407
Fe  0.580  0.420  0.593
Fe  0.580  0.420  0.907
Fe  0.710  0.290  0.750

Properties
For the mass density, the calculation gives 10.34 g/cm³. The value obtained for the total energy is -7.490 eV per atom. As for the volume: 143 Å³/f.u. The value obtained for the formation energy is -149 meV per atom.

(2)
Tm7Co2Pb2 | PBE | optimized geometry

a b c (Å): 9.630 9.630 9.630
angles (deg): 158.91 66.45 117.81
Fractional coordinates of all 11 atoms:
Tm  0.000  0.000  0.000
Tm  0.317  0.451  0.866
Tm  0.321  0.639  0.682
Tm  0.585  0.451  0.134
Tm  0.640  0.296  0.344
Tm  0.952  0.296  0.656
Tm  0.957  0.639  0.318
Co  0.189  0.950  0.239
Co  0.711  0.950  0.761
Pb  0.273  0.773  0.500
Pb  0.684  0.684  0.000

Properties
For the mass density, the calculation gives 10.08 g/cm³. The value obtained for the total energy is -5.117 eV per atom. The value obtained for the energy above the most stable polymorph in this dataset is 0 meV per atom. As for the volume: 282 Å³/f.u. The value obtained for the formation energy is -306 meV per atom.